{
  "formula": "Zn2CoHg",
  "functional": "PBE",
  "state": "relaxed",
  "energy_ev_per_cell": -18.06,
  "e_form_ev_per_fu": 0.93,
  "space_group": "No. 65",
  "cell": [[5.447, 0.000, 0.000], [0.000, 7.343, 0.000], [0.000, 0.000, 3.048]],
  "species": ["Zn", "Zn", "Zn", "Zn", "Co", "Co", "Hg", "Hg"],
  "fractional_positions": [[0.250, 0.250, 0.000], [0.250, 0.750, 0.000], [0.750, 0.250, 0.000], [0.750, 0.750, 0.000], [0.000, 0.000, 0.500], [0.500, 0.500, 0.500], [0.000, 0.500, 0.500], [0.500, 0.000, 0.500]]
}

---

{
  "formula": "YS2NF",
  "functional": "PBE",
  "state": "relaxed",
  "polymorph_energy_ev_per_fu": 0.00,
  "energy_ev_per_cell": -23.92,
  "space_group": "No. 123",
  "formation_energy_uncorrected_mev_per_atom": 199.7,
  "cell": [[4.346, 0.000, 0.000], [0.000, 4.346, 0.000], [0.000, 0.000, 4.115]],
  "species": ["Y", "S", "S", "N", "F"],
  "fractional_positions": [[0.000, 0.000, 0.000], [0.000, 0.500, 0.500], [0.500, 0.000, 0.500], [0.500, 0.500, 0.000], [0.500, 0.500, 0.500]]
}

---

{
  "formula": "Tl2VCu2Se4",
  "functional": "PBE",
  "state": "relaxed",
  "energy_ev_per_cell": -39.47,
  "space_group": "No. 12",
  "formation_energy_uncorrected_mev_per_atom": -387.7,
  "cell": [[7.101, -1.920, 0.000], [7.101, 1.920, 0.000], [-2.461, 0.000, 7.488]],
  "species": ["Tl", "Tl", "V", "Cu", "Cu", "Se", "Se", "Se", "Se"],
  "fractional_positions": [[0.135, 0.135, 0.075], [0.865, 0.865, 0.925], [0.000, 0.000, 0.500], [0.317, 0.317, 0.516], [0.683, 0.683, 0.484], [0.190, 0.190, 0.679], [0.486, 0.486, 0.714], [0.514, 0.514, 0.286], [0.810, 0.810, 0.321]]
}

---

{
  "formula": "TbPr12Ho2",
  "functional": "PBE",
  "state": "relaxed",
  "energy_ev_per_cell": -137.65,
  "e_form_ev_per_fu": 2.31,
  "space_group": "No. 67",
  "cell": [[3.626, -5.866, 0.000], [3.626, 5.866, 0.000], [0.000, 0.000, 25.208]],
  "species": ["Tb", "Tb", "Pr", "Pr", "Pr", "Pr", "Pr", "Pr", "Pr", "Pr", "Pr", "Pr", "Pr", "Pr", "Pr", "Pr", "Pr", "Pr", "Pr", "Pr", "Pr", "Pr", "Pr", "Pr", "Pr", "Pr", "Ho", "Ho", "Ho", "Ho"],
  "fractional_positions": [[0.250, 0.750, 0.999], [0.750, 0.250, 0.001], [0.002, 0.502, 0.870], [0.002, 0.998, 0.073], [0.020, 0.520, 0.414], [0.024, 0.976, 0.560], [0.250, 0.250, 0.198], [0.250, 0.250, 0.324], [0.250, 0.250, 0.676], [0.250, 0.250, 0.802], [0.476, 0.524, 0.560], [0.480, 0.980, 0.414], [0.498, 0.502, 0.073], [0.498, 0.998, 0.870], [0.502, 0.002, 0.130], [0.502, 0.498, 0.927], [0.520, 0.020, 0.586], [0.524, 0.476, 0.440], [0.750, 0.750, 0.198], [0.750, 0.750, 0.324], [0.750, 0.750, 0.676], [0.750, 0.750, 0.802], [0.976, 0.024, 0.440], [0.980, 0.480, 0.586], [0.998, 0.002, 0.927], [0.998, 0.498, 0.130], [0.250, 0.750, 0.267], [0.250, 0.750, 0.730], [0.750, 0.250, 0.270], [0.750, 0.250, 0.733]]
}

---

The records above yield spin magnetization values of 0.00 0.40 1.26 0.00 μB per formula unit, respectively.